## w
## Ce4AlGa2 (PBE-GGA)

Data for crystalline Ce4AlGa2 at its relaxed geometry.

Its space group is I4/mmm, No. 139.

Cell lengths 7.245, 7.245, 7.245 Å; angles 134.19, 134.19, 66.79 degrees
Sites, in units of the cell vectors:
Ce: 0.000 0.500 0.500
Ce: 0.250 0.750 0.500
Ce: 0.500 0.000 0.500
Ce: 0.750 0.250 0.500
Al: 0.000 0.000 0.000
Ga: 0.381 0.381 0.000
Ga: 0.619 0.619 0.000

## x
## Ce4AlGa2 (PBE-GGA)

Data for crystalline Ce4AlGa2 at its relaxed geometry.

Its space group is R-3m, No. 166.

Cell lengths 10.452, 10.452, 10.452 Å; angles 25.81, 25.81, 25.81 degrees
Sites, in units of the cell vectors:
Ce: 0.117 0.117 0.117
Ce: 0.311 0.311 0.311
Ce: 0.689 0.689 0.689
Ce: 0.883 0.883 0.883
Al: 0.500 0.500 0.500
Ga: 0.408 0.408 0.408
Ga: 0.592 0.592 0.592

Which of them is the most stable, and which is the least stable? x and w, in that order.

## w
## Ce2Al3Ga (PBE-GGA)

Data for crystalline Ce2Al3Ga at its relaxed geometry.

Its space group is R-3m, No. 166.

Cell lengths 5.609, 5.609, 5.609 Å; angles 59.82, 59.82, 59.82 degrees
Sites, in units of the cell vectors:
Ce: 0.124 0.124 0.124
Ce: 0.876 0.876 0.876
Al: 0.000 0.500 0.500
Al: 0.500 0.000 0.500
Al: 0.500 0.500 0.000
Ga: 0.500 0.500 0.500

## x
## Ce2Al3Ga (PBE-GGA)

Data for crystalline Ce2Al3Ga at its relaxed geometry.

Its space group is P6_3/mmc, No. 194.

Cell lengths 5.634, 5.634, 8.975 Å; angles 90.00, 90.00, 120.00 degrees
Sites, in units of the cell vectors:
Ce: 0.333 0.667 0.084
Ce: 0.333 0.667 0.416
Ce: 0.667 0.333 0.584
Ce: 0.667 0.333 0.916
Al: 0.172 0.345 0.750
Al: 0.172 0.828 0.750
Al: 0.345 0.172 0.250
Al: 0.655 0.828 0.750
Al: 0.828 0.172 0.250
Al: 0.828 0.655 0.250
Ga: 0.000 0.000 0.000
Ga: 0.000 0.000 0.500

Which of them is the most stable, and which is the least stable? w and x, in that order.

## w
## CeAl2Ga3 (PBE-GGA)

Data for crystalline CeAl2Ga3 at its relaxed geometry.

Its space group is Cmcm, No. 63.

Cell lengths 6.519, 6.519, 6.328 Å; angles 90.00, 90.00, 109.10 degrees
Sites, in units of the cell vectors:
Ce: 0.160 0.840 0.750
Ce: 0.840 0.160 0.250
Al: 0.322 0.322 0.000
Al: 0.322 0.322 0.500
Al: 0.678 0.678 0.000
Al: 0.678 0.678 0.500
Ga: 0.021 0.312 0.750
Ga: 0.312 0.021 0.250
Ga: 0.352 0.648 0.250
Ga: 0.648 0.352 0.750
Ga: 0.688 0.979 0.750
Ga: 0.979 0.688 0.250

## x
## CeAl2Ga3 (PBE-GGA)

Data for crystalline CeAl2Ga3 at its relaxed geometry.

Its space group is P-3m1, No. 164.

Cell lengths 4.562, 4.562, 6.422 Å; angles 90.00, 90.00, 120.00 degrees
Sites, in units of the cell vectors:
Ce: 0.000 0.000 0.000
Al: 0.333 0.667 0.692
Al: 0.667 0.333 0.308
Ga: 0.000 0.000 0.500
Ga: 0.333 0.667 0.258
Ga: 0.667 0.333 0.742

Which of them is the most stable, and which is the least stable? x and w, in that order.